The following is a DFT calculation (GGA-PBEsol) of KMgW2 after structural relaxation.

The structure in POSCAR format:
```
KMgW2
1.0
3.248 0.000 0.000
0.000 3.248 0.000
0.000 0.000 9.031
K Mg W
1 1 2
direct
0.000 0.000 0.000
0.500 0.500 0.350
0.000 0.000 0.555
0.500 0.500 0.685
```


The following is a DFT calculation (GGA-PBEsol) of KMgW2 after structural relaxation.

The structure in POSCAR format:
```
KMgW2
1.0
1.525 -2.251 0.000
1.525 2.251 0.000
0.000 0.000 11.053
K Mg W
1 1 2
direct
0.000 0.000 0.000
0.000 0.000 0.500
0.500 0.500 0.281
0.500 0.500 0.719
```


The following is a DFT calculation (GGA-PBEsol) of KMg3W after structural relaxation.

The structure in POSCAR format:
```
KMg3W
1.0
5.412 0.000 0.000
0.000 5.412 0.000
0.000 0.000 5.412
K Mg W
1 3 1
direct
0.000 0.000 0.000
0.000 0.500 0.500
0.500 0.000 0.500
0.500 0.500 0.000
0.500 0.500 0.500
```


| no. | formation energy from the elements (eV per atom) |
| --- | --- |
| 1 | 0.785 |
| 2 | 1.035 |
| 3 | 1.051 |